# 1
## MgCo4Se (GGA-PBE)

Data for crystalline MgCo4Se at its relaxed geometry.

a = 6.881 Å, b = 6.881 Å, c = 6.881 Å
α = 90.00°, β = 90.00°, γ = 90.00°
Space group F-43m (No. 216)
Unique sites:
Mg  0.000  0.000  0.000 (multiplicity 4)
Co  0.125  0.125  0.375 (multiplicity 16)
Se  0.250  0.250  0.750 (multiplicity 4)

Computed properties:
**ρ**: 6.91 Mg/m³
**Volume**: 13.58 A^3/atom
**E**: -5.3942 eV per atom
**Fermi-level density of states**: 27.2 states/eV per cell

# 2
## LaPd3Pb (GGA-PBE)

Data for crystalline LaPd3Pb at its relaxed geometry.

a = 5.516 Å, b = 8.016 Å, c = 5.396 Å
α = 90.00°, β = 90.00°, γ = 90.00°
Space group Pbam (No. 55)
Unique sites:
La  0.000  0.000  0.000 (multiplicity 2)
Pd  0.000  0.500  0.000 (multiplicity 2)
Pd  0.049  0.169  0.500 (multiplicity 4)
Pb  0.000  0.500  0.500 (multiplicity 2)

Computed properties:
**ρ**: 9.26 Mg/m³
**Offset from the most stable computed form**: 0 kJ/mol of formula units
**Volume**: 23.86 A^3/atom
**Fermi-level density of states**: 3.5 states/eV per cell
**Formation energy**: -0.384 eV per atom

# 3
## HfTi4H10 (GGA-PBE)

Data for crystalline HfTi4H10 at its relaxed geometry.

a = 7.253 Å, b = 7.253 Å, c = 4.230 Å
α = 90.00°, β = 90.00°, γ = 90.00°
Space group I4/m (No. 87)
Unique sites:
Hf  0.000  0.000  0.000 (multiplicity 2)
Ti  0.099  0.698  0.500 (multiplicity 8)
H  0.000  0.500  0.250 (multiplicity 4)
H  0.104  0.207  0.258 (multiplicity 16)

Computed properties:
**ρ**: 5.67 Mg/m³
**Volume**: 7.42 A^3/atom
**E**: -5.5103 eV per atom
**Fermi-level density of states**: 10.4 states/eV per cell

# 4
## CeScGe (GGA-PBE)

Data for crystalline CeScGe at its relaxed geometry.

a = 4.5282 Å, b = 4.5282 Å, c = 7.4446 Å
α = 90.00°, β = 90.00°, γ = 120.00°
Space group P-3m1 (No. 164)
Unique sites:
Ce  0.3333  0.6667  0.4089 (multiplicity 2)
Sc  0.3333  0.6667  0.8979 (multiplicity 2)
Ge  0.0000  0.0000  0.1986 (multiplicity 2)

Computed properties:
**ρ**: 6.47 Mg/m³
**Volume**: 22.04 A^3/atom
**Fermi-level density of states**: 9.4 states/eV per cell
**Formation energy**: -0.447 eV per atom

# 5
## LaAs2HBr (GGA-PBE)

Data for crystalline LaAs2HBr at its relaxed geometry.

a = 6.015 Å, b = 6.015 Å, c = 5.935 Å
α = 90.00°, β = 90.00°, γ = 90.00°
Space group P4/mmm (No. 123)
Unique sites:
La  0.000  0.000  0.000 (multiplicity 1)
As  0.000  0.500  0.000 (multiplicity 2)
H  0.500  0.500  0.500 (multiplicity 1)
Br  0.000  0.000  0.500 (multiplicity 1)

Computed properties:
**ρ**: 2.86 Mg/m³
**Offset from the most stable computed form**: 447 kJ/mol of formula units
**Volume**: 42.94 A^3/atom
**Fermi-level density of states**: 3.9 states/eV per cell

# 6
## Re3RuS (GGA-PBE)

Data for crystalline Re3RuS at its relaxed geometry.

a = 4.683 Å, b = 4.683 Å, c = 4.683 Å
α = 90.00°, β = 90.00°, γ = 90.00°
Space group Pm-3m (No. 221)
Unique sites:
Re  0.000  0.000  0.500 (multiplicity 3)
Ru  0.000  0.000  0.000 (multiplicity 1)
S  0.500  0.500  0.500 (multiplicity 1)

Computed properties:
**ρ**: 11.19 Mg/m³
**Volume**: 20.53 A^3/atom
**E**: -7.6408 eV per atom
**Fermi-level density of states**: 7.5 states/eV per cell